A plane-wave DFT calculation with PBE was carried out for Rb2Cd after structural relaxation.

The value obtained for the excess energy over the best structure of this formula in the dataset is 0 meV/atom. For the total energy, the calculation gives -0.99 eV/atom. As for the formation energy: -40 meV/atom.

It has space group P-1 (No. 2), with a = 5.148 Å, b = 7.565 Å, c = 9.932 Å, α = 101.08°, β = 104.81° and γ = 90.03°. Symmetry generates all atoms from Rb at (0.083, 0.293, 0.162), Rb at (0.339, 0.160, 0.679) and Cd at (0.265, 0.604, 0.531).

=====

A plane-wave DFT calculation with PBE was carried out for CrNiCl2 after structural relaxation.

The value obtained for the excess energy over the best structure of this formula in the dataset is 52 meV/atom. For the total energy, the calculation gives -5.01 eV/atom. The raw formation energy is -237 meV per atom.

It has space group Pm (No. 6), with a = 3.628 Å, b = 3.536 Å, c = 6.624 Å, α = 90.00°, β = 94.95° and γ = 90.00°. Symmetry generates all atoms from Cr at (0.000, 0.000, 0.000), Ni at (0.470, 0.500, 0.895), Cl at (0.292, 0.000, 0.687) and Cl at (0.730, 0.500, 0.207).

=====

A plane-wave DFT calculation with PBE was carried out for Pm8Si3Te4S after structural relaxation.

For the total energy, the calculation gives -5.74 eV/atom. The raw formation energy is -1306 meV per atom.

It has space group R-3m (No. 166, hexagonal axes), with a = 8.5909 Å, b = 8.5909 Å, c = 21.7466 Å, α = 90.00°, β = 90.00° and γ = 120.00°. Symmetry generates all atoms from Pm at (0.0000, 0.0000, 0.2412), Pm at (0.0029, 0.5015, 0.7602), Si at (0.0000, 0.5000, 0.5000), Te at (0.0000, 0.0000, 0.0000), Te at (0.0000, 0.5000, 0.0000) and S at (0.0000, 0.0000, 0.5000).

=====

A plane-wave DFT calculation with PBE was carried out for CdGeTe2Rh after structural relaxation.

For the total energy, the calculation gives -3.28 eV/atom. The raw formation energy is 549 meV per atom.

It has space group P4/mmm (No. 123), with a = 5.474 Å, b = 5.474 Å, c = 4.638 Å, α = 90.00°, β = 90.00° and γ = 90.00°. Symmetry generates all atoms from Cd at (0.000, 0.000, 0.000), Ge at (0.500, 0.500, 0.500), Te at (0.000, 0.500, 0.500) and Rh at (0.500, 0.500, 0.000).

=====

A plane-wave DFT calculation with PBE was carried out for U3Pa4S8 after structural relaxation.

For the total energy, the calculation gives -8.51 eV/atom. The raw formation energy is -1517 meV per atom.

It has space group C2/m (No. 12), with a = 10.933 Å, b = 10.936 Å, c = 7.715 Å, α = 90.00°, β = 134.79° and γ = 90.00°. Symmetry generates all atoms from U at (0.000, 0.000, 0.000), U at (0.250, 0.250, 0.000), Pa at (0.000, 0.000, 0.500), Pa at (0.000, 0.500, 0.000), Pa at (0.250, 0.250, 0.500), S at (0.000, 0.249, 0.000), S at (0.000, 0.258, 0.500), S at (0.243, 0.500, 0.501) and S at (0.244, 0.500, 0.986).

=====

A plane-wave DFT calculation with PBE was carried out for ZnSiTe4 after structural relaxation.

For the total energy, the calculation gives -2.49 eV/atom. The raw formation energy is 717 meV per atom.

It has space group F-43m (No. 216), with a = 8.920 Å, b = 8.920 Å, c = 8.920 Å, α = 90.00°, β = 90.00° and γ = 90.00°. Symmetry generates all atoms from Zn at (0.000, 0.000, 0.000), Si at (0.250, 0.250, 0.750) and Te at (0.125, 0.125, 0.375).